First-principles (PBE-GGA) data for a relaxed structure of TcNiBPd, as listed in OQMD.

a = 4.082 Å, b = 4.082 Å, c = 4.082 Å
α = 60.00°, β = 60.00°, γ = 60.00°
Fractional positions:
B 0.000 0.000 0.000
Ni 0.750 0.750 0.750
Pd 0.500 0.500 0.500
Tc 0.250 0.250 0.250

Summary:
- final energy (eV/atom) = -6.473